No. 1
{"formula": "Mn2CoMoN", "functional": "PBE", "state": "optimized geometry", "polymorph_energy_mev_per_atom": 2293, "e_form_raw_mev_per_atom": 2260, "lattice": [[4.0903, 0.0000, 0.0000], [0.0000, 4.0903, 0.0000], [0.0000, 0.0000, 4.4563]], "species": ["Mn", "Mn", "Co", "Mo", "N"], "fractional_positions": [[0.0000, 0.5000, 0.0000], [0.5000, 0.0000, 0.0000], [0.0000, 0.0000, 0.0000], [0.0000, 0.0000, 0.5000], [0.5000, 0.5000, 0.5000]]}


No. 2
{"formula": "Mn2CoMoN", "functional": "PBE", "state": "optimized geometry", "polymorph_energy_mev_per_atom": 0, "e_form_raw_mev_per_atom": -33, "lattice": [[3.7180, 0.0000, 0.0000], [0.0000, 3.7180, 0.0000], [0.0000, 0.0000, 4.0353]], "species": ["Mn", "Mn", "Co", "Mo", "N"], "fractional_positions": [[0.0000, 0.5000, 0.0000], [0.5000, 0.0000, 0.0000], [0.0000, 0.0000, 0.5000], [0.5000, 0.5000, 0.5000], [0.5000, 0.5000, 0.0000]]}


No. 3
{"formula": "MnNbCoMo", "functional": "PBE", "state": "optimized geometry", "delta_e_f_ev_per_atom": 0.07, "lattice": [[0.0000, 3.0585, 3.0585], [3.0585, 0.0000, 3.0585], [3.0585, 3.0585, 0.0000]], "species": ["Mn", "Nb", "Co", "Mo"], "fractional_positions": [[0.0000, 0.0000, 0.0000], [0.5000, 0.5000, 0.5000], [0.7500, 0.7500, 0.7500], [0.2500, 0.2500, 0.2500]]}


| no. | DOS at the Fermi energy (states/eV per cell) |
| --- | --- |
| 1 | 7.9 |
| 2 | 8.7 |
| 3 | 4.1 |